VASP calculation (PBE) on an optimized crystal structure of LaBiPb2.

```
4
Lattice="4.9118 0.0000 0.0000 0.0000 4.9118 0.0000 0.0000 0.0000 5.1364" Properties=species:S:1:pos:R:3 pbc="T T T"
La 0.0000 0.0000 0.0000
Bi 2.4559 2.4559 0.0000
Pb 0.0000 2.4559 2.5682
Pb 2.4559 0.0000 2.5682
```

Results
* total moment: 0.000 μB/cell
* formation enthalpy at 0 K: -0.49 eV per atom



VASP calculation (PBE) on an optimized crystal structure of CeBiPb.

```
6
Lattice="2.3408 -8.5665 0.0000 2.3408 8.5665 0.0000 0.0000 0.0000 4.5882" Properties=species:S:1:pos:R:3 pbc="T T T"
Ce 2.3408 6.8223 3.4412
Ce 2.3408 -6.8223 1.1471
Bi 2.3408 4.2736 1.1471
Bi 2.3408 -4.2736 3.4412
Pb 2.3408 1.0766 3.4412
Pb 2.3408 -1.0766 1.1471
```

Results
* total moment: 1.628 μB/cell
* formation enthalpy at 0 K: -0.49 eV per atom